Crystalline Na2Mn2AsO6 at its relaxed geometry. Source: Alexandria via LeMat-Bulk, functional GGA+U.

Structure (extended XYZ):
```
11
Lattice="-2.9274 3.1936 -2.9190 -1.9452 -4.7543 0.9497 -0.6857 2.4814 5.2719" Properties=species:S:1:pos:R:3 pbc="T T T"
Na -2.7577 1.8204 -2.2506
Na -2.1149 -3.3812 0.2814
Mn -2.6161 -0.8592 2.2936
Mn -2.9422 1.7799 1.0090
As -0.3429 1.2407 2.6360
O -4.2093 0.4874 2.0700
O -1.3089 0.1916 3.8636
O -1.3491 0.4333 1.2327
O -1.6104 2.6310 2.6762
O -4.2494 0.7291 -0.5610
O -3.9480 -1.7103 0.6264
```

Results
The total energy comes out at -6.2945 eV per atom.